Record 1
# AlCuRuW

AlCuRuW after structural relaxation (PBE-GGA, Alexandria).

a = 6.100 Å, b = 6.100 Å, c = 6.100 Å
α = 90.00°, β = 90.00°, γ = 90.00°
Space group F-43m (No. 216)
Asymmetric unit:
Al 0.000 0.000 0.000 (multiplicity 4)
Cu 0.250 0.250 0.750 (multiplicity 4)
Ru 0.250 0.250 0.250 (multiplicity 4)
W 0.000 0.000 0.500 (multiplicity 4)

Properties
The formation enthalpy at 0 K is -0.1034 eV/atom. The value obtained for the total energy is -7.620 eV/atom. For the density of states at the Fermi level, the calculation gives 3.4 states/eV per cell.

=====

Record 2
# AlZnCuRu

AlZnCuRu after structural relaxation (PBE-GGA, Alexandria).

a = 3.155 Å, b = 4.049 Å, c = 4.196 Å
α = 90.00°, β = 90.00°, γ = 90.00°
Space group Pmmm (No. 47)
Asymmetric unit:
Al 0.000 0.000 0.000 (multiplicity 1)
Zn 0.000 0.500 0.500 (multiplicity 1)
Cu 0.500 0.000 0.500 (multiplicity 1)
Ru 0.500 0.500 0.000 (multiplicity 1)

Properties
The formation enthalpy at 0 K is -0.3228 eV/atom. The value obtained for the total energy is -4.920 eV/atom. For the density of states at the Fermi level, the calculation gives 1.4 states/eV per cell.

=====

Record 3
# AlCu4S5

AlCu4S5 after structural relaxation (PBE-GGA, Alexandria).

a = 7.915 Å, b = 7.915 Å, c = 4.832 Å
α = 90.00°, β = 90.00°, γ = 90.00°
Space group I4/m (No. 87)
Asymmetric unit:
Al 0.000 0.000 0.000 (multiplicity 2)
Cu 0.115 0.292 0.500 (multiplicity 8)
S 0.000 0.000 0.500 (multiplicity 2)
S 0.080 0.291 0.000 (multiplicity 8)

Properties
The value obtained for the formation energy without anion corrections is -28.6 kJ per mole of atoms. The value obtained for the total energy is -4.372 eV/atom. For the density of states at the Fermi level, the calculation gives 9.7 states/eV per cell.

=====

Record 4
# Al3CuS4

Al3CuS4 after structural relaxation (PBE-GGA, Alexandria).

a = 7.399 Å, b = 7.279 Å, c = 6.435 Å
α = 90.00°, β = 90.00°, γ = 90.00°
Space group Pmn2_1 (No. 31)
Asymmetric unit:
Al 0.000 0.180 0.000 (multiplicity 2)
Al 0.246 0.339 0.475 (multiplicity 4)
Cu 0.000 0.798 0.464 (multiplicity 2)
S 0.000 0.144 0.468 (multiplicity 2)
S 0.000 0.791 0.109 (multiplicity 2)
S 0.224 0.621 0.624 (multiplicity 4)

Properties
The value obtained for the formation energy without anion corrections is -56.5 kJ per mole of atoms. The value obtained for the total energy is -4.565 eV/atom.

=====

Record 5
# Al2CuS4

Al2CuS4 after structural relaxation (PBE-GGA, Alexandria).

a = 5.073 Å, b = 5.073 Å, c = 5.573 Å
α = 90.00°, β = 90.00°, γ = 90.00°
Space group P-42m (No. 111)
Asymmetric unit:
Al 0.000 0.500 0.000 (multiplicity 2)
Cu 0.000 0.000 0.500 (multiplicity 1)
S 0.258 0.258 0.749 (multiplicity 4)

Properties
The value obtained for the formation energy without anion corrections is -74.4 kJ per mole of atoms. The value obtained for the total energy is -4.784 eV/atom. For the density of states at the Fermi level, the calculation gives 6.3 states/eV per cell.

=====

Record 6
# Al14Cu3S24

Al14Cu3S24 after structural relaxation (PBE-GGA, Alexandria).

a = 12.168 Å, b = 7.080 Å, c = 17.345 Å
α = 90.00°, β = 90.22°, γ = 90.00°
Space group Cm (No. 8)
Asymmetric unit:
Al 0.000 0.000 0.000 (multiplicity 2)
Al 0.001 0.500 0.499 (multiplicity 2)
Al 0.013 0.000 0.628 (multiplicity 2)
Al 0.085 0.254 0.832 (multiplicity 4)
Al 0.165 0.000 0.163 (multiplicity 2)
Al 0.175 0.500 0.292 (multiplicity 2)
Al 0.177 0.500 0.675 (multiplicity 2)
Al 0.262 0.239 0.499 (multiplicity 4)
Al 0.341 0.000 0.341 (multiplicity 2)
Al 0.346 0.000 0.958 (multiplicity 2)
Al 0.427 0.261 0.164 (multiplicity 4)
Cu 0.007 0.000 0.374 (multiplicity 2)
Cu 0.172 0.500 0.036 (multiplicity 2)
Cu 0.332 0.000 0.713 (multiplicity 2)
S 0.003 0.000 0.757 (multiplicity 2)
S 0.007 0.000 0.243 (multiplicity 2)
S 0.013 0.500 0.750 (multiplicity 2)
S 0.084 0.234 0.084 (multiplicity 4)
S 0.098 0.269 0.580 (multiplicity 4)
S 0.158 0.500 0.910 (multiplicity 2)
S 0.161 0.000 0.915 (multiplicity 2)
S 0.175 0.500 0.425 (multiplicity 2)
S 0.183 0.000 0.420 (multiplicity 2)
S 0.245 0.260 0.755 (multiplicity 4)
S 0.262 0.232 0.248 (multiplicity 4)
S 0.332 0.500 0.581 (multiplicity 2)
S 0.339 0.000 0.093 (multiplicity 2)
S 0.342 0.000 0.578 (multiplicity 2)
S 0.345 0.500 0.087 (multiplicity 2)
S 0.420 0.236 0.420 (multiplicity 4)
S 0.423 0.267 0.914 (multiplicity 4)
S 0.496 0.000 0.248 (multiplicity 2)

Properties
The value obtained for the formation energy without anion corrections is -87.1 kJ per mole of atoms. The value obtained for the total energy is -4.896 eV/atom. For the density of states at the Fermi level, the calculation gives 26.7 states/eV per cell.